CsRe2Mo: optimized geometry, PBE-GGA.

Output
final energy	-28.21	eV per formula unit
DOS(E_F)	15.16	states/eV per cell
mass density	13.62	g/cm3
formation energy	2.09	eV per atom
energy above the most stable polymorph in this dataset	0	meV per atom

Lattice parameters (Å, degrees): 6.6443 6.6443 6.6443 90.00 90.00 90.00
Last column: nearest neighbours and their distance in Å.
Space group Fm-3m (No. 225)
Symmetry-distinct sites (fractional):
Cs1 0.0000 0.0000 0.0000 x4  8 Re 2.88
Re1 0.2500 0.2500 0.2500 x8  4 Mo 2.88, 4 Cs 2.88
Mo1 0.0000 0.0000 0.5000 x4  8 Re 2.88